Entry 1:
A plane-wave DFT calculation with PBE was carried out for a relaxed NaTcNi crystal.

Energy = -4.76 eV per atom
N(E_F) = 9.724 states/eV/cell
Theoretical density = 4.8 g/cm³
Energy relative to the lowest polymorph listed for this composition = 818 meV/atom
ΔE_f = 3.18 eV per formula unit

Geometry as CIF:
```
data_NaTcNi
_chemical_formula_sum 'Na2 Tc2 Ni2'
_space_group_name_H-M_alt 'P 63/m m c'
_space_group_IT_number 194
_space_group_name_Hall '-P 6c 2c'
_cell_length_a 3.9612
_cell_length_b 3.9612
_cell_length_c 9.1192
_cell_angle_alpha 90.00
_cell_angle_beta 90.00
_cell_angle_gamma 120.00
loop_
_atom_site_label
_atom_site_type_symbol
_atom_site_fract_x
_atom_site_fract_y
_atom_site_fract_z
Na1 Na 0.0000 0.0000 0.0000
Tc1 Tc 0.3333 0.6667 0.2500
Ni1 Ni 0.3333 0.6667 0.7500
```

=====

Entry 2:
A plane-wave DFT calculation with PBE was carried out for a relaxed ZrReTe2 crystal.

Energy = -6.96 eV per atom
N(E_F) = 2.641 states/eV/cell
Formation energy (no corrections) = -145 meV per atom
Theoretical density = 9.2 g/cm³
Energy relative to the lowest polymorph listed for this composition = 72 meV/atom

Geometry as CIF:
```
data_ZrReTe2
_chemical_formula_sum 'Zr1 Re1 Te2'
_space_group_name_H-M_alt 'P 4 m m'
_space_group_IT_number 99
_space_group_name_Hall 'P 4 -2'
_cell_length_a 3.287
_cell_length_b 3.287
_cell_length_c 8.899
_cell_angle_alpha 90.00
_cell_angle_beta 90.00
_cell_angle_gamma 90.00
loop_
_atom_site_label
_atom_site_type_symbol
_atom_site_fract_x
_atom_site_fract_y
_atom_site_fract_z
Zr1 Zr 0.000 0.000 0.000
Re1 Re 0.500 0.500 0.200
Te1 Te 0.000 0.000 0.371
Te2 Te 0.500 0.500 0.762
```